Entry P
GGA-PBE NaY2Zn2, optimized geometry; calculated volume = 251.6 Å³/cell; size of the total moment = 0.000 μB/cell
1.0
8.195 0.000 0.000
0.000 8.195 0.000
0.000 0.000 3.747
Na Y Zn
2 4 4
direct
0.000 0.000 0.000 Na
0.500 0.500 0.000 Na
0.157 0.343 0.500 Y
0.343 0.843 0.500 Y
0.657 0.157 0.500 Y
0.843 0.657 0.500 Y
0.133 0.633 0.000 Zn
0.367 0.133 0.000 Zn
0.633 0.867 0.000 Zn
0.867 0.367 0.000 Zn

Entry Q
GGA-PBE NaY2Zn2, optimized geometry; calculated volume = 253.9 Å³/cell; size of the total moment = 0.005 μB/cell
1.0
8.660 0.000 0.000
0.000 8.660 0.000
0.000 0.000 3.385
Na Y Zn
2 4 4
direct
0.000 0.000 0.000 Na
0.500 0.500 0.000 Na
0.140 0.360 0.000 Y
0.360 0.860 0.000 Y
0.640 0.140 0.000 Y
0.860 0.640 0.000 Y
0.154 0.654 0.500 Zn
0.346 0.154 0.500 Zn
0.654 0.846 0.500 Zn
0.846 0.346 0.500 Zn

Entry R
GGA-PBE NaY2Zn2, optimized geometry; calculated volume = 133.4 Å³/cell; size of the total moment = 0.001 μB/cell
1.0
-2.779 2.779 4.316
2.779 -2.779 4.316
2.779 2.779 -4.316
Na Y Zn
1 2 2
direct
0.000 0.000 0.000 Na
0.250 0.750 0.500 Y
0.750 0.250 0.500 Y
0.364 0.364 0.000 Zn
0.636 0.636 0.000 Zn

Entry S
GGA-PBE NaY2Zn2, optimized geometry; calculated volume = 140.2 Å³/cell; size of the total moment = 0.000 μB/cell
1.0
-1.825 1.825 10.521
1.825 -1.825 10.521
1.825 1.825 -10.521
Na Y Zn
1 2 2
direct
0.000 0.000 0.000 Na
0.367 0.367 0.000 Y
0.633 0.633 0.000 Y
0.250 0.750 0.500 Zn
0.750 0.250 0.500 Zn

Compare the structures above. Which one is the most stable? entry P is.